1.
# LaRuBr2

LaRuBr2 after structural relaxation (PBE, Alexandria).

Formation energy (no corrections)   -2.00 eV/f.u.
Excess energy over the best structure of this formula in the dataset   0.2517 eV per atom
Mass density   5.85 g cm⁻³
Magnetization   0.2528 μB/atom
Volume   28.4 A^3/atom

Unit cell a=3.971 b=3.971 c=7.202 alpha=90.00 beta=90.00 gamma=90.00
Atoms (fractional coordinates):
La 0.000 0.000 0.000
Ru 0.500 0.500 0.147
Br 0.000 0.000 0.402
Br 0.500 0.500 0.791

2.
# Ti2InFe

Ti2InFe after structural relaxation (PBE, Alexandria).

Mass density   6.82 g cm⁻³
Magnetization   0.0001 μB/atom
Energy of formation from the pure elements   -0.213 eV/atom
Volume   16.2 A^3/atom

Unit cell a=2.919 b=2.919 c=7.612 alpha=90.00 beta=90.00 gamma=90.00
Atoms (fractional coordinates):
Ti 0.000 0.000 0.198
Ti 0.000 0.000 0.802
In 0.500 0.500 0.500
Fe 0.500 0.500 0.000

3.
# ErZrGaNi

ErZrGaNi after structural relaxation (PBE, Alexandria).

Mass density   8.34 g cm⁻³
Magnetization   0.1708 μB/atom
Energy of formation from the pure elements   -0.364 eV/atom
Volume   19.3 A^3/atom

Unit cell a=6.754 b=6.754 c=6.754 alpha=90.00 beta=90.00 gamma=90.00
Atoms (fractional coordinates):
Er 0.000 0.000 0.000
Er 0.000 0.500 0.500
Er 0.500 0.000 0.500
Er 0.500 0.500 0.000
Zr 0.000 0.000 0.500
Zr 0.000 0.500 0.000
Zr 0.500 0.000 0.000
Zr 0.500 0.500 0.500
Ga 0.250 0.250 0.750
Ga 0.250 0.750 0.250
Ga 0.750 0.250 0.250
Ga 0.750 0.750 0.750
Ni 0.250 0.250 0.250
Ni 0.250 0.750 0.750
Ni 0.750 0.250 0.750
Ni 0.750 0.750 0.250

4.
# DyTl3Se3

DyTl3Se3 after structural relaxation (PBE, Alexandria).

Formation energy (no corrections)   -6.70 eV/f.u.
Mass density   7.12 g cm⁻³
Magnetization   0.0000 μB/atom
Volume   33.7 A^3/atom

Unit cell a=9.049 b=4.231 c=12.349 alpha=90.00 beta=92.91 gamma=90.00
Atoms (fractional coordinates):
Dy 0.113 0.250 0.382
Dy 0.887 0.750 0.618
Tl 0.145 0.250 0.876
Tl 0.335 0.750 0.143
Tl 0.384 0.750 0.636
Tl 0.616 0.250 0.364
Tl 0.665 0.250 0.857
Tl 0.855 0.750 0.124
Se 0.095 0.250 0.149
Se 0.106 0.250 0.616
Se 0.332 0.750 0.389
Se 0.668 0.250 0.611
Se 0.894 0.750 0.384
Se 0.905 0.750 0.851

5.
# Tm5Sb2Pd

Tm5Sb2Pd after structural relaxation (PBE, Alexandria).

Formation energy (no corrections)   -2.76 eV/f.u.
Excess energy over the best structure of this formula in the dataset   0.4410 eV per atom
Mass density   7.35 g cm⁻³
Magnetization   0.0307 μB/atom
Volume   33.7 A^3/atom

Unit cell a=7.826 b=7.826 c=13.283 alpha=90.00 beta=90.00 gamma=138.46
Atoms (fractional coordinates):
Tm 0.081 0.919 0.615
Tm 0.081 0.919 0.885
Tm 0.288 0.712 0.250
Tm 0.309 0.691 0.543
Tm 0.309 0.691 0.957
Tm 0.691 0.309 0.043
Tm 0.691 0.309 0.457
Tm 0.712 0.288 0.750
Tm 0.919 0.081 0.115
Tm 0.919 0.081 0.385
Sb 0.127 0.873 0.101
Sb 0.127 0.873 0.399
Sb 0.873 0.127 0.601
Sb 0.873 0.127 0.899
Pd 0.222 0.778 0.750
Pd 0.778 0.222 0.250

6.
# Ho2Ti2GaRh5

Ho2Ti2GaRh5 after structural relaxation (PBE, Alexandria).

Mass density   9.74 g cm⁻³
Magnetization   0.0000 μB/atom
Energy of formation from the pure elements   -0.647 eV/atom
Volume   17.2 A^3/atom

Unit cell a=10.453 b=10.453 c=3.151 alpha=90.00 beta=90.00 gamma=90.00
Atoms (fractional coordinates):
Ho 0.173 0.327 0.000
Ho 0.327 0.827 0.000
Ho 0.673 0.173 0.000
Ho 0.827 0.673 0.000
Ti 0.133 0.633 0.000
Ti 0.367 0.133 0.000
Ti 0.633 0.867 0.000
Ti 0.867 0.367 0.000
Ga 0.000 0.000 0.000
Ga 0.500 0.500 0.000
Rh 0.000 0.500 0.500
Rh 0.050 0.803 0.500
Rh 0.197 0.050 0.500
Rh 0.303 0.550 0.500
Rh 0.450 0.303 0.500
Rh 0.500 0.000 0.500
Rh 0.550 0.697 0.500
Rh 0.697 0.450 0.500
Rh 0.803 0.950 0.500
Rh 0.950 0.197 0.500